VASP calculation (PBE-GGA) on a relaxed structure of RbAgTeBr6.

Results
E_form (uncorrected) = -670 meV per atom
Magnetic moment = 0.00 μB per formula unit

a = 7.3627 Å, b = 7.4322 Å, c = 7.5214 Å
α = 89.83°, β = 88.91°, γ = 60.73°
Atoms (fractional coordinates):
Rb (0.0000, 0.0000, 0.0000)
Ag (0.3340, 0.3279, 0.5001)
Te (0.6674, 0.6623, 0.4999)
Br (0.3810, 0.9746, 0.2952)
Br (0.3829, 0.6257, 0.7184)
Br (0.6312, 0.3760, 0.2903)
Br (0.6418, 0.9741, 0.7095)
Br (0.9845, 0.6293, 0.2812)
Br (0.9863, 0.3759, 0.7051)